A plane-wave DFT calculation with PBE+U was carried out for a relaxed Ge3MoO crystal.

Calculated values
The calculation puts the offset from the most stable computed form at 0.649 eV per atom. The total magnetic moment is 0.400 μB/atom. Its density of states at the Fermi level is 4.3 states/eV/f.u.

Unit cell a=4.899 b=4.899 c=4.899 alpha=90.00 beta=90.00 gamma=90.00
Element x y z (fractional)
Ge (0.000, 0.000, 0.500)
Ge (0.000, 0.500, 0.000)
Ge (0.500, 0.000, 0.000)
Mo (0.000, 0.000, 0.000)
O (0.500, 0.500, 0.500)